(1)
# PBE TbTeIr, optimized geometry
data_TbTeIr
_chemical_formula_sum 'Tb2 Te2 Ir2'
_cell_length_a 3.9033
_cell_length_b 3.9033
_cell_length_c 11.3019
_cell_angle_alpha 90.00
_cell_angle_beta 90.00
_cell_angle_gamma 120.00
_space_group_name_H-M_alt 'P -6 m 2'
_space_group_IT_number 187
_space_group_name_Hall 'P -6 2'
loop_
_atom_site_label
_atom_site_type_symbol
_atom_site_fract_x
_atom_site_fract_y
_atom_site_fract_z
Tb1 Tb 0.0000 0.0000 0.1517
Te1 Te 0.3333 0.6667 0.3606
Ir1 Ir 0.0000 0.0000 0.5000
Ir2 Ir 0.3333 0.6667 0.0000
# **E**: -5.922 eV per atom
# **Formation energy (no corrections)**: -0.378 eV per atom
# **Total moment**: 0.00 μB/f.u.

(2)
# PBE Tb2TeIr, optimized geometry
data_Tb2TeIr
_chemical_formula_sum 'Tb4 Te2 Ir2'
_cell_length_a 4.1570
_cell_length_b 5.9168
_cell_length_c 8.7149
_cell_angle_alpha 90.00
_cell_angle_beta 90.00
_cell_angle_gamma 90.00
_space_group_name_H-M_alt 'P m m n'
_space_group_IT_number 59
loop_
_space_group_symop_operation_xyz
'x,y,z'
'-x,-y,-z'
'-x+1/2,-y+1/2,z'
'x+1/2,y+1/2,-z'
'x+1/2,-y,-z'
'-x+1/2,y,z'
'-x,y+1/2,-z'
'x,-y+1/2,z'
loop_
_atom_site_label
_atom_site_type_symbol
_atom_site_fract_x
_atom_site_fract_y
_atom_site_fract_z
Tb1 Tb 0.2500 0.2500 0.1229
Tb2 Tb 0.2500 0.2500 0.6935
Te1 Te 0.2500 0.7500 0.5943
Ir1 Ir 0.2500 0.7500 0.0970
# **E**: -6.344 eV per atom
# **Formation energy (no corrections)**: -1.029 eV per atom
# **Relative energy among the computed polymorphs**: 1 kJ/mol of formula units
# **Total moment**: 0.00 μB/f.u.

(3)
# PBE Tb2Th3Ir2, optimized geometry
data_Tb2Th3Ir2
_chemical_formula_sum 'Tb4 Th6 Ir4'
_cell_length_a 11.7983
_cell_length_b 3.8766
_cell_length_c 8.9993
_cell_angle_alpha 90.00
_cell_angle_beta 109.59
_cell_angle_gamma 90.00
_space_group_name_H-M_alt 'C 1 2/m 1'
_space_group_IT_number 12
loop_
_space_group_symop_operation_xyz
'x,y,z'
'-x,-y,-z'
'-x,y,-z'
'x,-y,z'
'x+1/2,y+1/2,z'
'-x+1/2,-y+1/2,-z'
'-x+1/2,y+1/2,-z'
'x+1/2,-y+1/2,z'
loop_
_atom_site_label
_atom_site_type_symbol
_atom_site_fract_x
_atom_site_fract_y
_atom_site_fract_z
Tb1 Tb 0.1633 0.0000 0.2992
Th1 Th 0.0000 0.5000 0.5000
Th2 Th 0.1226 0.5000 0.9349
Ir1 Ir 0.1466 0.0000 0.7075
# **E**: -7.610 eV per atom
# **Total moment**: 0.00 μB/f.u.
# **Formation enthalpy at 0 K**: -55.6 kJ/mol of atoms

> Look up the E of the second one.

-6.344 eV per atom